(1)
Compound: AlNiAs2
Source: the Alexandria database
Functional: GGA-PBE
Structure: optimized geometry

```
AlNiAs2
1.0
4.366 0.000 0.000
0.000 4.295 0.011
0.000 1.880 3.862
Ni As Al
1 2 1
direct
0.000 0.531 0.531
0.000 0.895 0.895
0.500 0.366 0.366
0.500 0.708 0.708
```

(2)
Compound: AlNi3As
Source: the Alexandria database
Functional: GGA-PBE
Structure: optimized geometry

## Properties
The value obtained for the relative energy among the computed polymorphs is 0 meV/atom.

```
AlNi3As
1.0
-1.819 -0.812 3.811
-2.578 -2.903 -1.849
2.922 -3.067 0.741
Ni As Al
3 1 1
direct
0.000 0.500 0.000
0.000 0.000 0.500
0.500 0.000 0.000
0.000 0.000 0.000
0.500 0.500 0.500
```

(3)
Compound: Al2NiAs
Source: the Alexandria database
Functional: GGA-PBE
Structure: optimized geometry

```
Al2NiAs
1.0
-3.176 5.132 0.767
-0.680 -2.553 -3.627
-3.046 -0.116 0.635
Ni As Al
1 1 2
direct
0.500 0.500 0.000
0.000 0.500 0.500
0.000 0.000 0.000
0.500 0.000 0.500
```

Record-wise total moment values, in μB per cell: 0.0, 0.0, 0.0
Record-wise energy of formation from the pure elements values, in eV per atom: -0.158, 0.312, -0.083